No. 1
DFT (meta-GGA SCAN) results for a crystal of Al2CrRh relaxed with PBEsol.

## Properties
ΔE_f ... -312 kJ/mol of formula units
Excess energy over the best structure of this formula in the dataset ... 0.0000 eV/atom

a = 4.2275 Å, b = 4.2275 Å, c = 4.2275 Å
α = 60.00°, β = 60.00°, γ = 60.00°
Closest atoms and distances in Å follow each position.
Fractional coordinates of all 4 atoms:
1 Rh 0.5000 0.5000 0.5000  8 Al 2.59
2 Al 0.7500 0.7500 0.7500  4 Cr 2.59, 4 Rh 2.59
3 Al 0.2500 0.2500 0.2500  4 Cr 2.59, 4 Rh 2.59
4 Cr 0.0000 0.0000 0.0000  8 Al 2.59


No. 2
DFT (meta-GGA SCAN) results for a crystal of KCSN relaxed with PBEsol.

## Properties
Excess energy over the best structure of this formula in the dataset ... 0.0000 eV/atom

a = 6.1154 Å, b = 6.1154 Å, c = 6.1154 Å
α = 100.86°, β = 112.33°, γ = 115.57°
Closest atoms and distances in Å follow each position.
Fractional coordinates of all 8 atoms:
1 K 0.7752 0.7752 0.0000  2 N 2.91, 4 S 3.24-3.25
2 K 0.7752 0.2752 0.5000  2 N 2.91, 4 S 3.24-3.25
3 S 0.5452 0.1557 0.8894  1 C 1.63
4 S 0.2663 0.6557 0.1106  1 C 1.63
5 C 0.1987 0.9674 0.7313  1 N 1.19
6 C 0.2362 0.4674 0.2687  1 N 1.19
7 N 0.2081 0.3275 0.3806  1 C 1.19
8 N 0.9469 0.8275 0.6194  1 C 1.19


No. 3
DFT (meta-GGA SCAN) results for a crystal of In3Pd5 relaxed with PBEsol.

## Properties
ΔE_f ... -417 kJ/mol of formula units

a = 4.1777 Å, b = 5.6260 Å, c = 11.1069 Å
α = 90.00°, β = 90.00°, γ = 90.00°
Closest atoms and distances in Å follow each position.
Fractional coordinates of all 16 atoms:
1 Pd 0.0000 0.9393 0.2446  5 In 2.74-2.80, 7 Pd 2.82-2.96
2 Pd 0.5000 0.2961 0.6108  6 In 2.68-2.94, 6 Pd 2.94-2.96
3 Pd 0.0000 0.5000 0.0000  6 In 2.81, 6 Pd 2.86-2.94
4 Pd 0.5000 0.7039 0.3892  6 In 2.68-2.94, 6 Pd 2.94-2.96
5 Pd 0.0000 0.5607 0.7446  5 In 2.74-2.80, 7 Pd 2.82-2.96
6 Pd 0.0000 0.0000 0.5000  6 In 2.81, 6 Pd 2.86-2.94
7 Pd 0.0000 0.0607 0.7554  5 In 2.74-2.80, 7 Pd 2.82-2.96
8 Pd 0.5000 0.2039 0.1108  6 In 2.68-2.94, 6 Pd 2.94-2.96
9 Pd 0.5000 0.7961 0.8892  6 In 2.68-2.94, 6 Pd 2.94-2.96
10 Pd 0.0000 0.4393 0.2554  5 In 2.74-2.80, 7 Pd 2.82-2.96
11 In 0.5000 0.8160 0.6418  10 Pd 2.72-2.94
12 In 0.0000 0.5000 0.5000  8 Pd 2.68-2.81
13 In 0.5000 0.1840 0.3582  10 Pd 2.72-2.94
14 In 0.5000 0.3160 0.8582  10 Pd 2.72-2.94
15 In 0.0000 0.0000 0.0000  8 Pd 2.68-2.81
16 In 0.5000 0.6840 0.1418  10 Pd 2.72-2.94


No. 4
DFT (meta-GGA SCAN) results for a crystal of Zn3SeCl relaxed with PBEsol.

## Properties
DFT total energy ... -13.17 eV/atom

a = 4.7904 Å, b = 4.7904 Å, c = 4.7904 Å
α = 90.00°, β = 90.00°, γ = 90.00°
Closest atoms and distances in Å follow each position.
Fractional coordinates of all 5 atoms:
1 Zn 0.0000 0.5000 0.0000  2 Cl 2.40
2 Zn 0.5000 0.0000 0.0000  2 Cl 2.40
3 Zn 0.0000 0.0000 0.5000  2 Cl 2.40
4 Cl 0.0000 0.0000 0.0000  6 Zn 2.40
5 Se 0.5000 0.5000 0.5000  12 Zn 3.39


No. 5
DFT (meta-GGA SCAN) results for a crystal of Cu2IrPt relaxed with PBEsol.

## Properties
ΔE_f ... 57 kJ/mol of formula units
Excess energy over the best structure of this formula in the dataset ... 0.1907 eV/atom

a = 4.1817 Å, b = 4.1817 Å, c = 4.1817 Å
α = 60.00°, β = 60.00°, γ = 60.00°
Closest atoms and distances in Å follow each position.
Fractional coordinates of all 4 atoms:
1 Cu 0.2500 0.2500 0.2500  4 Ir 2.56, 4 Pt 2.56
2 Cu 0.7500 0.7500 0.7500  4 Ir 2.56, 4 Pt 2.56
3 Ir 0.0000 0.0000 0.0000  8 Cu 2.56
4 Pt 0.5000 0.5000 0.5000  8 Cu 2.56


No. 6
DFT (meta-GGA SCAN) results for a crystal of Cr2CdPt relaxed with PBEsol.

## Properties
ΔE_f ... -65 kJ/mol of formula units

a = 4.4074 Å, b = 4.4074 Å, c = 4.4074 Å
α = 60.00°, β = 60.00°, γ = 60.00°
Closest atoms and distances in Å follow each position.
Fractional coordinates of all 4 atoms:
1 Cr 0.7500 0.7500 0.7500  4 Cr 2.70, 4 Cd 2.70
2 Cr 0.0000 0.0000 0.0000  4 Pt 2.70, 4 Cr 2.70
3 Pt 0.2500 0.2500 0.2500  4 Cd 2.70, 4 Cr 2.70
4 Cd 0.5000 0.5000 0.5000  4 Cr 2.70, 4 Pt 2.70


No. 7
DFT (meta-GGA SCAN) results for a crystal of TcBr3F relaxed with PBEsol.

## Properties
DFT total energy ... -18.74 eV/atom

a = 4.8222 Å, b = 4.8222 Å, c = 4.8222 Å
α = 90.00°, β = 90.00°, γ = 90.00°
Closest atoms and distances in Å follow each position.
Fractional coordinates of all 5 atoms:
1 Br 0.0000 0.5000 0.0000  2 F 2.41
2 Br 0.0000 0.0000 0.5000  2 F 2.41
3 Br 0.5000 0.0000 0.0000  2 F 2.41
4 F 0.0000 0.0000 0.0000  6 Br 2.41
5 Tc 0.5000 0.5000 0.5000  12 Br 3.41


No. 8
DFT (meta-GGA SCAN) results for a crystal of CsZrBr2 relaxed with PBEsol.

## Properties
DFT total energy ... -27.35 eV/atom

a = 5.4749 Å, b = 5.4749 Å, c = 5.4749 Å
α = 60.00°, β = 60.00°, γ = 60.00°
Closest atoms and distances in Å follow each position.
Fractional coordinates of all 4 atoms:
1 Cs 0.5000 0.5000 0.5000  8 Br 3.35
2 Br 0.7500 0.7500 0.7500  4 Zr 3.35, 4 Cs 3.35
3 Br 0.2500 0.2500 0.2500  4 Zr 3.35, 4 Cs 3.35
4 Zr 0.0000 0.0000 0.0000  8 Br 3.35


Please write out number 4 again, unchanged.
DFT (meta-GGA SCAN) results for a crystal of Zn3SeCl relaxed with PBEsol.

## Properties
DFT total energy ... -13.17 eV/atom

a = 4.7904 Å, b = 4.7904 Å, c = 4.7904 Å
α = 90.00°, β = 90.00°, γ = 90.00°
Closest atoms and distances in Å follow each position.
Fractional coordinates of all 5 atoms:
1 Zn 0.0000 0.5000 0.0000  2 Cl 2.40
2 Zn 0.5000 0.0000 0.0000  2 Cl 2.40
3 Zn 0.0000 0.0000 0.5000  2 Cl 2.40
4 Cl 0.0000 0.0000 0.0000  6 Zn 2.40
5 Se 0.5000 0.5000 0.5000  12 Zn 3.39